Entry 1:
This record from Alexandria describes crystalline NbHgCl6 at its relaxed geometry. The functional is PBE. Values from VASP.

```
&SYSTEM
  ibrav = 0, nat = 16, ntyp = 3
/
ATOMIC_SPECIES
Cl 35.45 Cl.upf
Hg 200.59 Hg.upf
Nb 92.91 Nb.upf
CELL_PARAMETERS angstrom
6.8409 0.0000 0.0000
-3.4205 5.9168 0.3107
0.0000 3.4932 13.5272
ATOMIC_POSITIONS crystal
Cl 0.8134 0.6047 0.8764
Hg 0.8537 0.0000 0.7500
Cl 0.7635 0.7200 0.0936
Cl 0.9565 0.7200 0.5936
Cl 0.4956 0.1495 0.0968
Nb 0.0000 0.5000 0.5000
Cl 0.3462 0.8505 0.4032
Nb 0.5000 0.5000 0.0000
Hg 0.1463 0.0000 0.2500
Cl 0.5044 0.8505 0.9032
Cl 0.0435 0.2800 0.4064
Cl 0.6538 0.1495 0.5968
Cl 0.2087 0.3953 0.6236
Cl 0.7913 0.6047 0.3764
Cl 0.2365 0.2800 0.9064
Cl 0.1866 0.3953 0.1236
```

Summary:
- Volume: 540 Å³ per cell
- Polymorph energy (0 for the lowest one): 0 meV per atom
- Crystal system: monoclinic
- Energy relative to the elements, uncorrected: -0.9888 eV/atom
- Total energy: -3.67 eV per atom

=====

Entry 2:
This record from Alexandria describes crystalline Nb3HgCl7 at its relaxed geometry. The functional is PBE. Values from VASP.

```
&SYSTEM
  ibrav = 0, nat = 11, ntyp = 3
/
ATOMIC_SPECIES
Cl 35.45 Cl.upf
Nb 92.91 Nb.upf
Hg 200.59 Hg.upf
CELL_PARAMETERS angstrom
6.0021 0.0000 3.1903
3.1129 5.8850 1.3846
-0.4140 -0.2854 8.0200
ATOMIC_POSITIONS crystal
Cl 0.3628 0.3975 0.3759
Nb 0.6349 0.7249 0.5981
Cl 0.3075 0.1053 0.7890
Cl 0.7982 0.1053 0.7890
Cl 0.3459 0.9037 0.4046
Cl 0.3043 0.6042 0.7873
Nb 0.0421 0.7249 0.5981
Hg 0.7086 0.6058 0.9770
Cl 0.8676 0.8949 0.3698
Cl 0.8638 0.3975 0.3759
Nb 0.0386 0.3186 0.6041
```

Summary:
- Volume: 291 Å³ per cell
- Crystal system: monoclinic
- Energy relative to the elements, uncorrected: -0.9578 eV/atom
- Total energy: -4.91 eV per atom

=====

Entry 3:
This record from Alexandria describes crystalline Nb2HgCl at its relaxed geometry. The functional is PBE. Values from VASP.

```
&SYSTEM
  ibrav = 0, nat = 4, ntyp = 3
/
ATOMIC_SPECIES
Nb 92.91 Nb.upf
Cl 35.45 Cl.upf
Hg 200.59 Hg.upf
CELL_PARAMETERS angstrom
4.1808 0.0938 2.1309
2.2127 4.0881 0.6475
0.3935 1.7974 4.3177
ATOMIC_POSITIONS crystal
Nb 0.7500 0.7500 0.7500
Nb 0.2500 0.2500 0.2500
Cl 0.0000 0.0000 0.0000
Hg 0.5000 0.5000 0.5000
```

Summary:
- Volume: 73 Å³ per cell
- Polymorph energy (0 for the lowest one): 0 meV per atom
- Crystal system: cubic
- Energy relative to the elements, uncorrected: 0.4653 eV/atom
- Total energy: -5.11 eV per atom

=====

Entry 4:
This record from Alexandria describes crystalline NbHg3Cl at its relaxed geometry. The functional is PBE. Values from VASP.

```
&SYSTEM
  ibrav = 0, nat = 5, ntyp = 3
/
ATOMIC_SPECIES
Cl 35.45 Cl.upf
Nb 92.91 Nb.upf
Hg 200.59 Hg.upf
CELL_PARAMETERS angstrom
-0.9272 3.3370 4.4335
-0.7242 -4.5293 3.2576
5.5015 -0.0338 1.1761
ATOMIC_POSITIONS crystal
Cl 0.5000 0.5000 0.5000
Nb 0.0000 0.0000 0.0000
Hg 0.0000 0.0000 0.5000
Hg 0.5000 0.0000 0.0000
Hg 0.0000 0.5000 0.0000
```

Summary:
- Volume: 178 Å³ per cell
- Polymorph energy (0 for the lowest one): 0 meV per atom
- Crystal system: cubic
- Energy relative to the elements, uncorrected: 0.5581 eV/atom
- Total energy: -2.01 eV per atom

=====

Entry 5:
This record from Alexandria describes crystalline NbHgCl3 at its relaxed geometry. The functional is PBE. Values from VASP.

```
&SYSTEM
  ibrav = 0, nat = 10, ntyp = 3
/
ATOMIC_SPECIES
Hg 200.59 Hg.upf
Cl 35.45 Cl.upf
Nb 92.91 Nb.upf
CELL_PARAMETERS angstrom
3.2569 -0.0513 0.0222
-0.1394 11.5025 2.9351
0.0592 1.8056 7.8360
ATOMIC_POSITIONS crystal
Hg 0.1588 0.4632 0.2243
Hg 0.1854 0.5974 0.7889
Cl 0.9528 0.3573 0.6842
Nb 0.9287 0.1290 0.8562
Nb 0.4025 0.9323 0.1567
Cl 0.9044 0.8947 0.9453
Cl 0.8963 0.9277 0.3983
Cl 0.4349 0.1336 0.6146
Cl 0.4268 0.1665 0.0675
Cl 0.3780 0.7039 0.3287
```

Summary:
- Volume: 276 Å³ per cell
- Crystal system: triclinic
- Energy relative to the elements, uncorrected: -0.9506 eV/atom
- Total energy: -4.13 eV per atom

=====

Entry 6:
This record from Alexandria describes crystalline NbHg2Cl at its relaxed geometry. The functional is PBE. Values from VASP.

```
&SYSTEM
  ibrav = 0, nat = 8, ntyp = 3
/
ATOMIC_SPECIES
Hg 200.59 Hg.upf
Nb 92.91 Nb.upf
Cl 35.45 Cl.upf
CELL_PARAMETERS angstrom
-9.0260 0.1647 -3.2216
-3.1171 -2.9092 8.5845
-6.2780 0.8985 3.3760
ATOMIC_POSITIONS crystal
Hg 0.8750 0.9763 0.7500
Hg 0.3750 0.2737 0.7500
Nb 0.0000 0.0000 0.0000
Hg 0.0237 0.6250 0.2500
Hg 0.7263 0.1250 0.2500
Nb 0.7500 0.2500 0.5000
Cl 0.5000 0.5000 0.0000
Cl 0.2500 0.7500 0.5000
```

Summary:
- Volume: 219 Å³ per cell
- Polymorph energy (0 for the lowest one): 0 meV per atom
- Crystal system: tetragonal
- Energy relative to the elements, uncorrected: 0.2469 eV/atom
- Total energy: -2.88 eV per atom